(1)
Compound: MgTa4Se
Source: the Alexandria database
Functional: GGA-PBEsol
Structure: optimized geometry

Properties
The crystal system is cubic. The calculated volume is 467.8 Å³ per cell. Its uncorrected formation energy is 564 meV per atom.

Cell: 7.763 7.763 7.763 Å, 90.00 90.00 90.00°
Space group F-43m (No. 216)
Unique sites:
Mg 0.000 0.000 0.000 x4
Ta 0.127 0.127 0.627 x16
Se 0.250 0.250 0.250 x4



(2)
Compound: MgTaSe
Source: the Alexandria database
Functional: GGA-PBEsol
Structure: optimized geometry

Properties
The crystal system is tetragonal. The calculated volume is 112.5 Å³ per cell. Its uncorrected formation energy is -260 meV per atom.

Cell: 3.266 3.266 10.553 Å, 90.00 90.00 90.00°
Space group I4mm (No. 107)
Unique sites:
Mg 0.000 0.000 0.000 x2
Ta 0.000 0.000 0.688 x2
Se 0.000 0.000 0.301 x2



(3)
Compound: MgTaSe
Source: the Alexandria database
Functional: GGA-PBEsol
Structure: optimized geometry

Properties
The crystal system is trigonal. The calculated volume is 57.7 Å³ per cell. Its uncorrected formation energy is -300 meV per atom.

Cell: 3.2364 3.2364 6.3580 Å, 90.00 90.00 120.00°
Space group P3m1 (No. 156)
Unique sites:
Mg 0.0000 0.0000 0.0000 x1
Ta 0.6667 0.3333 0.3643 x1
Se 0.3333 0.6667 0.6392 x1



(4)
Compound: Tb2MgSe4
Source: the Alexandria database
Functional: GGA-PBEsol
Structure: optimized geometry

Properties
The crystal system is cubic. The calculated volume is 1550.0 Å³ per cell. Its uncorrected formation energy is -1670 meV per atom.

Cell: 11.573 11.573 11.573 Å, 90.00 90.00 90.00°
Space group Fd-3m (No. 227, origin choice 2)
Unique sites:
Tb 0.000 0.000 0.000 x16
Mg 0.125 0.125 0.625 x8
Se 0.004 0.004 0.246 x32



Number 1: size of the total moment 0.000 μB per atom. Number 2: size of the total moment 0.000 μB per atom. Number 3: size of the total moment 0.000 μB per atom. Number 4: size of the total moment 0.000 μB per atom.